No. 1
This record from the Alexandria database describes a geometry-optimized Dy2YMg2 structure. The functional is PBE.

space-group type: Cmcm
energy above the most stable polymorph in this dataset: 0 kJ/mol of formula units
V: 28.2 A^3/atom
DFT formation energy: -0.077 eV/atom
crystal system: orthorhombic

a = 14.054 Å, b = 14.054 Å, c = 5.425 Å
α = 90.00°, β = 90.00°, γ = 164.72°
Atoms (fractional coordinates):
1 Dy 0.044 0.956 0.750
2 Dy 0.237 0.763 0.750
3 Dy 0.763 0.237 0.250
4 Dy 0.956 0.044 0.250
5 Y 0.151 0.849 0.250
6 Y 0.849 0.151 0.750
7 Mg 0.360 0.640 0.250
8 Mg 0.447 0.553 0.750
9 Mg 0.553 0.447 0.250
10 Mg 0.640 0.360 0.750


No. 2
This record from the Alexandria database describes a geometry-optimized YI2N2 structure. The functional is PBE.

space-group type: P4/mmm
energy above the most stable polymorph in this dataset: 302 kJ/mol of formula units
V: 23.2 A^3/atom
crystal system: tetragonal
formation energy without anion corrections: 1360 meV per atom

a = 4.255 Å, b = 4.255 Å, c = 6.418 Å
α = 90.00°, β = 90.00°, γ = 90.00°
Atoms (fractional coordinates):
1 Y 0.000 0.000 0.000
2 I 0.500 0.500 0.000
3 I 0.500 0.500 0.500
4 N 0.000 0.500 0.500
5 N 0.500 0.000 0.500


No. 3
This record from the Alexandria database describes a geometry-optimized La2Nd2DyY4 structure. The functional is PBE.

space-group type: C2/m
V: 33.9 A^3/atom
DFT formation energy: 0.002 eV/atom
crystal system: monoclinic

a = 9.672 Å, b = 9.672 Å, c = 9.734 Å
α = 115.22°, β = 115.22°, γ = 21.86°
Atoms (fractional coordinates):
1 La 0.165 0.165 0.499
2 La 0.835 0.835 0.501
3 Nd 0.353 0.353 0.836
4 Nd 0.647 0.647 0.164
5 Dy 0.500 0.500 0.500
6 Y 0.020 0.020 0.833
7 Y 0.315 0.315 0.164
8 Y 0.685 0.685 0.836
9 Y 0.980 0.980 0.167


No. 4
This record from the Alexandria database describes a geometry-optimized Be3Zn structure. The functional is PBE.

space-group type: P4/mmm
V: 9.6 A^3/atom
DFT formation energy: 0.184 eV/atom
crystal system: tetragonal

a = 2.668 Å, b = 2.668 Å, c = 5.377 Å
α = 90.00°, β = 90.00°, γ = 90.00°
Atoms (fractional coordinates):
1 Be 0.000 0.000 0.000
2 Be 0.500 0.500 0.216
3 Be 0.500 0.500 0.784
4 Zn 0.000 0.000 0.500


No. 5
This record from the Alexandria database describes a geometry-optimized Pm3FeC4 structure. The functional is PBE.

space-group type: Immm
V: 14.7 A^3/atom
DFT formation energy: -0.059 eV/atom
crystal system: orthorhombic

a = 3.971 Å, b = 4.453 Å, c = 13.283 Å
α = 90.00°, β = 90.00°, γ = 90.00°
Atoms (fractional coordinates):
1 Pm 0.000 0.000 0.000
2 Pm 0.000 0.500 0.185
3 Pm 0.000 0.500 0.815
4 Pm 0.500 0.000 0.315
5 Pm 0.500 0.000 0.685
6 Pm 0.500 0.500 0.500
7 Fe 0.000 0.000 0.500
8 Fe 0.500 0.500 0.000
9 C 0.000 0.341 0.384
10 C 0.000 0.341 0.616
11 C 0.000 0.659 0.384
12 C 0.000 0.659 0.616
13 C 0.500 0.159 0.116
14 C 0.500 0.159 0.884
15 C 0.500 0.841 0.116
16 C 0.500 0.841 0.884


No. 6
This record from the Alexandria database describes a geometry-optimized RbCrAs2Br structure. The functional is PBE.

space-group type: P4/mmm
energy above the most stable polymorph in this dataset: 767 kJ/mol of formula units
V: 54.3 A^3/atom
crystal system: tetragonal
formation energy without anion corrections: 1308 meV per atom

a = 6.650 Å, b = 6.650 Å, c = 6.135 Å
α = 90.00°, β = 90.00°, γ = 90.00°
Atoms (fractional coordinates):
1 Rb 0.000 0.000 0.000
2 Cr 0.500 0.500 0.500
3 As 0.000 0.500 0.000
4 As 0.500 0.000 0.000
5 Br 0.000 0.000 0.500